# 1
VASP calculation (PBE) on a geometry-optimized BSbH structure.

The energy above the most stable polymorph in this dataset comes out at 0.0737 eV/atom. As for the space-group type: No. 1.

extended XYZ file:
```
6
Lattice="-0.903 1.943 -2.270 -3.304 -4.328 -2.715 -5.435 1.684 2.064" Properties=species:S:1:pos:R:3 pbc="T T T"
H -3.662 0.118 0.252
H -7.081 -1.170 -3.173
Sb -1.384 0.745 -1.991
B -7.761 -1.789 -2.231
Sb -2.993 -1.880 -2.750
B -3.935 1.006 1.024
```

# 2
VASP calculation (PBE) on a geometry-optimized Al2S3 structure.

As for the space-group type: No. 8. The value obtained for the uncorrected energy is -24.94 eV/f.u.

extended XYZ file:
```
10
Lattice="-4.158 4.349 -1.208 -4.840 -2.394 2.757 -2.044 2.415 5.167" Properties=species:S:1:pos:R:3 pbc="T T T"
Al -6.442 4.359 1.435
Al -6.279 6.676 3.967
S -4.798 5.132 2.960
Al -8.641 4.448 4.073
S -3.877 1.748 3.683
Al -5.382 3.388 4.622
S -4.841 2.611 0.397
S -7.234 2.833 3.070
S -5.966 1.644 6.283
S -1.485 1.527 1.006
```

The calculation returns the following magnetic moment values, one per record and in order: 0.00, 0.00 μB/cell.